LaPmPb2: relaxed, PBE.

The structure belongs to space group P4/mmm (No. 123); the cell edges are 5.1531, 5.1531 and 4.6213 Å and the angles 90.00°, 90.00° and 90.00°. The inequivalent atoms are La at (0.0000, 0.0000, 0.0000), Pm at (0.5000, 0.5000, 0.0000) and Pb at (0.0000, 0.5000, 0.5000).

For the volume, the calculation gives 122.7 Å³ per cell. The formation energy from the elements is -0.54 eV per atom. The value obtained for the energy is -19.2 eV per cell.